VASP calculation (PBE) on an optimized crystal structure of LaCe2Al2Ge2.

```
LaCe2Al2Ge2
1.0
2.1956 1.2676 9.5926
-2.1956 1.2676 9.5926
0.0000 -2.5353 9.5926
La Ce Al Ge
1 2 2 2
Direct
0.0000 0.0000 0.0000
0.1400 0.1400 0.1400
0.8600 0.8600 0.8600
0.4111 0.4111 0.4111
0.5889 0.5889 0.5889
0.2622 0.2622 0.2622
0.7378 0.7378 0.7378
```



VASP calculation (PBE) on an optimized crystal structure of Li2GeAs.

```
Li2GeAs
1.0
3.9675 0.0000 0.0000
0.0000 3.9675 0.0000
0.0000 0.0000 17.9075
Li Ge As
8 4 4
Direct
0.2452 0.2500 0.1250
0.2500 0.7452 0.3750
0.2500 0.7548 0.8750
0.2548 0.2500 0.6250
0.7452 0.7500 0.6250
0.7500 0.2452 0.8750
0.7500 0.2548 0.3750
0.7548 0.7500 0.1250
0.0000 0.0000 0.5000
0.0000 0.5000 0.7500
0.5000 0.0000 0.2500
0.5000 0.5000 0.0000
0.0000 0.0000 0.0000
0.0000 0.5000 0.2500
0.5000 0.0000 0.7500
0.5000 0.5000 0.5000
```

Calculated values
energy relative to the lowest polymorph listed for this composition	167	meV/atom



VASP calculation (PBE) on an optimized crystal structure of Pu2MnSi.

```
Pu2MnSi
1.0
3.5650 0.0000 0.0000
0.0000 3.5650 0.0000
0.0000 0.0000 4.7421
Pu Mn Si
2 1 1
Direct
0.0000 0.5000 0.0000
0.5000 0.0000 0.0000
0.0000 0.0000 0.5000
0.5000 0.5000 0.5000
```

Calculated values
formation energy from raw total energies	0.0455	eV/atom



VASP calculation (PBE) on an optimized crystal structure of Tl2SbF6.

```
Tl2SbF6
1.0
6.2616 0.0000 0.0000
-3.1308 5.4227 0.0000
0.0000 0.0000 4.9600
Tl Sb F
2 1 6
Direct
0.3333 0.6667 0.3358
0.6667 0.3333 0.6642
0.0000 0.0000 0.0000
0.1583 0.3166 0.7709
0.1583 0.8417 0.7709
0.3166 0.1583 0.2291
0.6834 0.8417 0.7709
0.8417 0.1583 0.2291
0.8417 0.6834 0.2291
```

Calculated values
energy relative to the lowest polymorph listed for this composition	0	meV/atom
formation energy from raw total energies	-2.0886	eV/atom



VASP calculation (PBE) on an optimized crystal structure of PaPtPb2O6.

```
PaPtPb2O6
1.0
5.7517 0.0000 0.0000
0.1218 5.9043 0.0000
2.8175 2.8128 4.5274
Pa Pt Pb O
1 1 2 6
Direct
0.0000 0.0000 0.0000
0.5000 0.5000 0.0000
0.2185 0.7098 0.5411
0.7815 0.2902 0.4589
0.1771 0.2937 0.5293
0.1930 0.3063 0.0198
0.3344 0.8207 0.9262
0.6656 0.1793 0.0738
0.8070 0.6937 0.9802
0.8229 0.7063 0.4707
```

Calculated values
formation energy from raw total energies	-1.6984	eV/atom



VASP calculation (PBE) on an optimized crystal structure of NbHW2.

```
NbHW2
1.0
5.4869 0.0000 0.0000
0.0000 5.4869 0.0000
0.0000 0.0000 7.7754
Nb H W
4 4 8
Direct
0.0000 0.2500 0.3750
0.0000 0.7500 0.6250
0.5000 0.2500 0.1250
0.5000 0.7500 0.8750
0.0000 0.2500 0.8750
0.0000 0.7500 0.1250
0.5000 0.2500 0.6250
0.5000 0.7500 0.3750
0.0000 0.0000 0.0000
0.0000 0.5000 0.0000
0.2500 0.2500 0.7500
0.2500 0.7500 0.2500
0.5000 0.0000 0.5000
0.5000 0.5000 0.5000
0.7500 0.2500 0.7500
0.7500 0.7500 0.2500
```

Calculated values
energy relative to the lowest polymorph listed for this composition	0	meV/atom



VASP calculation (PBE) on an optimized crystal structure of Tm2Zn3Si2.

```
Tm2Zn3Si2
1.0
3.6794 0.0000 0.0000
0.0000 18.5441 0.0000
0.0000 0.0000 3.9972
Tm Zn Si
4 6 4
Direct
0.0000 0.1654 0.0000
0.0000 0.8346 0.0000
0.5000 0.3346 0.0000
0.5000 0.6654 0.0000
0.0000 0.0000 0.0000
0.0000 0.4315 0.5000
0.0000 0.5685 0.5000
0.5000 0.0685 0.5000
0.5000 0.5000 0.0000
0.5000 0.9315 0.5000
0.0000 0.2904 0.5000
0.0000 0.7096 0.5000
0.5000 0.2096 0.5000
0.5000 0.7904 0.5000
```

Calculated values
formation energy from raw total energies	-0.3554	eV/atom



VASP calculation (PBE) on an optimized crystal structure of Se2INCl.

```
Se2INCl
1.0
6.1906 0.0000 0.0000
0.0000 6.1906 0.0000
0.0000 0.0000 3.2541
Se I N Cl
2 1 1 1
Direct
0.0000 0.5000 0.0000
0.5000 0.0000 0.0000
0.0000 0.0000 0.5000
0.5000 0.5000 0.5000
0.5000 0.5000 0.0000
```

Calculated values
energy relative to the lowest polymorph listed for this composition	129	meV/atom
formation energy from raw total energies	1.5384	eV/atom



VASP calculation (PBE) on an optimized crystal structure of CaAlZnSi2.

```
CaAlZnSi2
1.0
4.8794 0.0000 0.0000
0.0000 4.8794 0.0000
0.0000 0.0000 4.6781
Ca Al Zn Si
1 1 1 2
Direct
0.0000 0.0000 0.0000
0.5000 0.5000 0.0000
0.5000 0.5000 0.5000
0.0000 0.5000 0.5000
0.5000 0.0000 0.5000
```

Calculated values
formation energy from raw total energies	0.3842	eV/atom



VASP calculation (PBE) on an optimized crystal structure of NaCoRhSe3.

```
NaCoRhSe3
1.0
7.8536 0.0000 0.0000
0.0000 3.7314 0.0000
-2.9482 0.0000 8.4094
Na Co Rh Se
2 2 2 6
Direct
0.2209 0.2500 0.2554
0.7791 0.7500 0.7446
0.0856 0.2500 0.6051
0.9144 0.7500 0.3949
0.3154 0.7500 0.8397
0.6846 0.2500 0.1603
0.1099 0.2500 0.8714
0.2257 0.7500 0.5355
0.4596 0.7500 0.1401
0.5404 0.2500 0.8599
0.7743 0.2500 0.4645
0.8901 0.7500 0.1286
```

Calculated values
formation energy from raw total energies	-0.5117	eV/atom



VASP calculation (PBE) on an optimized crystal structure of PuTlCuSe2.

```
PuTlCuSe2
1.0
3.0948 -7.4528 0.0000
3.0948 7.4528 0.0000
0.0000 0.0000 5.9897
Pu Tl Cu Se
2 2 2 4
Direct
0.2500 0.2500 0.0000
0.7500 0.7500 0.0000
0.2500 0.7500 0.7299
0.7500 0.2500 0.2701
0.0000 0.0000 0.5000
0.5000 0.5000 0.5000
0.1242 0.8758 0.2672
0.3758 0.6242 0.2672
0.6242 0.3758 0.7328
0.8758 0.1242 0.7328
```

Calculated values
formation energy from raw total energies	-0.5594	eV/atom



E
In order: -36.426 -55.917 -43.074 -38.881 -69.686 -149.018 -52.197 -10.999 -15.943 -58.600 -61.120
Unit: eV for the cell shown